This record from the Alexandria database describes an optimized crystal structure of Li3Mn5O10. The functional is GGA+U.

Properties
Its energy is -6.79 eV/atom.

a b c (Å): 5.169 5.255 7.673
angles (deg): 70.97 71.10 79.28
Space group P-1 (No. 2)
Asymmetric unit:
Li (0.000, 0.000, 0.000) [1 per cell]
Li (0.498, 0.721, 0.073) [2 per cell]
Mn (0.003, 0.390, 0.196) [2 per cell]
Mn (0.022, 0.192, 0.602) [2 per cell]
Mn (0.500, 0.500, 0.500) [1 per cell]
O (0.191, 0.049, 0.166) [2 per cell]
O (0.220, 0.607, 0.967) [2 per cell]
O (0.223, 0.433, 0.354) [2 per cell]
O (0.225, 0.812, 0.551) [2 per cell]
O (0.241, 0.292, 0.735) [2 per cell]